Entry 1:
An optimized crystal structure of Mg3W2, computed with GGA-PBE.

Cell: 10.2056 14.7389 4.7889 Å, 90.00 90.00 90.00°
Space group Fdd2 (No. 43)
Unique sites:
Mg1 0.0000 0.0000 0.0000 [8 per cell]
Mg2 0.0246 0.3998 0.0050 [16 per cell]
W1 0.0098 0.2920 0.5249 [16 per cell]

Results
Its distance to the lowest polymorph of the same formula is 154 meV/atom.

---

Entry 2:
An optimized crystal structure of SnHg4Pb15, computed with GGA-PBE.

Cell: 5.8193 5.8193 17.9056 Å, 90.00 90.00 90.00°
Space group P4/mmm (No. 123)
Unique sites:
Sn1 0.0000 0.0000 0.0000 [1 per cell]
Hg1 0.0000 0.0000 0.1990 [2 per cell]
Hg2 0.0000 0.0000 0.3999 [2 per cell]
Pb1 0.0000 0.5000 0.0973 [4 per cell]
Pb2 0.0000 0.5000 0.2980 [4 per cell]
Pb3 0.0000 0.5000 0.5000 [2 per cell]
Pb4 0.5000 0.5000 0.0000 [1 per cell]
Pb5 0.5000 0.5000 0.1976 [2 per cell]
Pb6 0.5000 0.5000 0.3988 [2 per cell]

---

Entry 3:
An optimized crystal structure of InPt5, computed with GGA-PBE.

Cell: 4.9144 4.9144 4.6987 Å, 90.00 90.00 120.00°
Space group P-62m (No. 189)
Unique sites:
In1 0.0000 0.0000 0.0000 [1 per cell]
Pt1 0.0000 0.6544 0.5000 [3 per cell]
Pt2 0.3333 0.6667 0.0000 [2 per cell]

---

Going through the records in order, we get ΔE_f values of 0.6290; 0.0624; -0.2056 eV/atom.